VASP calculation (GGA-PBE) on crystalline BaAgMoOs2 at its relaxed geometry.

Output
Crystal system ... tetragonal
Calculated formation energy ... 1.6297 eV/atom

a b c (Å): 4.7611 4.7611 5.7273
angles (deg): 90.00 90.00 90.00
Last column: nearest neighbours and their distance in Å.
Fractional positions:
Ba (0.0000, 0.0000, 0.0000)  2 Mo 2.86
Ag (0.5000, 0.5000, 0.0000)  4 Ba 3.37, 8 Os 3.72
Mo (0.0000, 0.0000, 0.5000)  4 Os 2.38
Os (0.0000, 0.5000, 0.5000)  2 Mo 2.38
Os (0.5000, 0.0000, 0.5000)  2 Mo 2.38